1.
Here is an optimized crystal structure of Cd2TcOs from the Alexandria database. Energies are from PBE.

Values from the calculation:
formation energy = 651 meV per atom
SG = No. 65
offset from the most stable computed form = 493 meV/atom

Lattice parameters (Å, degrees): 2.787 2.787 9.722 90.00 90.00 115.61
Atoms (fractional coordinates):
1 Cd 0.000 0.000 0.500
2 Cd 0.000 0.000 0.000
3 Os 0.500 0.500 0.250
4 Tc 0.500 0.500 0.750

=====

2.
Here is an optimized crystal structure of Ti5Be4Co from the Alexandria database. Energies are from PBE.

Values from the calculation:
formation energy = -193 meV per atom
SG = No. 123

Lattice parameters (Å, degrees): 2.957 2.957 14.542 90.00 90.00 90.00
Atoms (fractional coordinates):
1 Be 0.000 0.000 0.799
2 Ti 0.500 0.500 0.301
3 Ti 0.500 0.500 0.101
4 Ti 0.500 0.500 0.500
5 Co 0.000 0.000 0.000
6 Ti 0.500 0.500 0.699
7 Be 0.000 0.000 0.400
8 Be 0.000 0.000 0.600
9 Be 0.000 0.000 0.201
10 Ti 0.500 0.500 0.899

=====

3.
Here is an optimized crystal structure of Rb3Nd3HfSe8 from the Alexandria database. Energies are from PBE.

Values from the calculation:
SG = No. 166
ΔE_f (raw) = -1.65 eV per atom

Lattice parameters (Å, degrees): 8.495 8.495 9.542 116.46 90.00 120.00
Atoms (fractional coordinates):
1 Se 0.734 0.468 0.702
2 Se 0.784 0.027 0.311
3 Nd 0.500 0.000 0.500
4 Nd 0.000 0.500 0.500
5 Rb 0.000 0.000 0.000
6 Hf 0.000 0.000 0.500
7 Se 0.244 0.027 0.311
8 Se 0.784 0.567 0.311
9 Se 0.216 0.433 0.689
10 Se 0.216 0.973 0.689
11 Nd 0.500 0.500 0.500
12 Se 0.756 0.973 0.689
13 Rb 0.500 0.500 0.000
14 Se 0.266 0.532 0.298
15 Rb 0.000 0.500 0.000

=====

4.
Here is an optimized crystal structure of ScReHg2 from the Alexandria database. Energies are from PBE.

Values from the calculation:
formation energy = 253 meV per atom
SG = No. 35
offset from the most stable computed form = 1 meV/atom

Lattice parameters (Å, degrees): 2.966 2.966 9.423 90.00 90.00 107.21
Atoms (fractional coordinates):
1 Hg 0.500 0.500 0.267
2 Sc 0.500 0.500 0.728
3 Re 0.000 0.000 0.515
4 Hg 0.000 0.000 0.990

=====

5.
Here is an optimized crystal structure of Na2U2AlS6 from the Alexandria database. Energies are from PBE.

Values from the calculation:
SG = No. 12
ΔE_f (raw) = -1.24 eV per atom

Lattice parameters (Å, degrees): 6.651 6.651 7.126 98.85 98.85 119.42
Atoms (fractional coordinates):
1 U 0.334 0.666 0.500
2 U 0.666 0.334 0.500
3 S 0.617 0.931 0.285
4 Na 0.167 0.833 0.000
5 S 0.226 0.226 0.291
6 Al 0.000 0.000 0.500
7 S 0.069 0.383 0.715
8 S 0.774 0.774 0.709
9 S 0.383 0.069 0.715
10 Na 0.833 0.167 0.000
11 S 0.931 0.617 0.285